# 1
5
Lattice="3.690 0.000 0.000 0.000 3.690 0.000 0.000 0.000 4.377" Properties=species:S:1:pos:R:3 comment="GGA-PBEsol TcHPd2F, relaxed" total_magnetization_mub_per_fu=3.456 energy_ev_per_atom=-5.4264 n_ef_per_ev_atom=0.817 pbc="T T T"
Pd 1.845 0.000 0.000
H 0.000 0.000 0.000
F 0.000 0.000 2.188
Pd 0.000 1.845 0.000
Tc 1.845 1.845 2.188

---

# 2
5
Lattice="3.088 0.000 0.000 0.000 3.647 0.000 0.000 0.000 3.647" Properties=species:S:1:pos:R:3 comment="GGA-PBEsol BeTcN2F, relaxed" total_magnetization_mub_per_fu=2.066 raw_formation_energy_kj_per_mol_atoms=18 n_ef_per_ev_atom=0.565 pbc="T T T"
N 0.000 1.824 0.000
Be 0.000 0.000 0.000
F 1.544 0.000 0.000
N 0.000 0.000 1.824
Tc 1.544 1.824 1.824

---

# 3
3
Lattice="4.035 0.000 0.000 2.018 3.495 0.000 2.018 1.165 3.295" Properties=species:S:1:pos:R:3 comment="GGA-PBEsol LiSiMo, relaxed" total_magnetization_mub_per_fu=0.970 raw_formation_energy_kj_per_mol_atoms=27 polymorph_energy_ev_per_atom=0.184 n_ef_per_ev_atom=0.520 pbc="T T T"
Li 0.000 0.000 0.000
Si 6.053 3.495 2.471
Mo 4.035 2.330 1.647

---

# 4
5
Lattice="4.457 0.000 0.000 0.000 6.220 0.000 0.000 0.000 6.220" Properties=species:S:1:pos:R:3 comment="GGA-PBEsol Ba2MnSiPd, relaxed" total_magnetization_mub_per_fu=4.617 raw_formation_energy_kj_per_mol_atoms=32 n_ef_per_ev_atom=0.948 pbc="T T T"
Si 0.000 0.000 0.000
Mn 2.229 3.110 3.110
Ba 0.000 0.000 3.110
Ba 0.000 3.110 0.000
Pd 2.229 0.000 0.000

---

# 5
5
Lattice="5.215 0.000 0.000 0.000 5.215 0.000 0.000 0.000 5.215" Properties=species:S:1:pos:R:3 comment="GGA-PBEsol Te3PtAu, relaxed" total_magnetization_mub_per_fu=0.001 raw_formation_energy_kj_per_mol_atoms=66 n_ef_per_ev_atom=1.510 pbc="T T T"
Au 2.607 2.607 2.607
Te 0.000 0.000 2.607
Te 0.000 2.607 0.000
Pt 0.000 0.000 0.000
Te 2.607 0.000 0.000

---

# 6
3
Lattice="4.665 0.000 0.000 2.333 4.040 0.000 2.333 1.347 3.809" Properties=species:S:1:pos:R:3 comment="GGA-PBEsol HoBiPd, relaxed" total_magnetization_mub_per_fu=0.000 ef_mev_per_atom=-962 n_ef_per_ev_atom=0.026 pbc="T T T"
Ho 4.665 2.694 1.905
Bi 0.000 0.000 0.000
Pd 2.333 1.347 0.952

---

# 7
4
Lattice="-4.350 -1.528 1.058 -1.686 -3.928 -2.027 -0.566 -3.932 2.569" Properties=species:S:1:pos:R:3 comment="GGA-PBEsol Tm2CuRh, relaxed" total_magnetization_mub_per_fu=0.000 ef_mev_per_atom=-598 n_ef_per_ev_atom=0.553 pbc="T T T"
Tm -1.650 -2.347 0.400
Rh -3.301 -4.694 0.800
Cu 0.000 0.000 0.000
Tm -4.951 -7.041 1.200

---

# 8
8
Lattice="4.923 0.000 0.000 0.000 4.923 0.000 -2.461 -2.461 5.786" Properties=species:S:1:pos:R:3 comment="GGA-PBEsol CaTlH2, relaxed" total_magnetization_mub_per_fu=0.000 polymorph_energy_ev_per_atom=0.000 n_ef_per_ev_atom=0.220 pbc="T T T"
Tl 0.000 0.000 0.000
H 1.484 3.692 1.446
Ca 2.461 2.461 0.000
H -1.231 -0.977 4.339
Ca 2.461 0.000 2.893
Tl 0.000 2.461 2.893
H 1.231 0.977 4.339
H 3.438 1.231 1.446

---

Number 5 is which compound?
Te3PtAu

---

Which formula does entry 7 have?
Tm2CuRh